DFT (PBE) results for LaZrCd2 after structural relaxation.

extended XYZ file:
```
4
Lattice="5.564 0.000 0.000 0.000 5.564 0.000 0.000 0.000 3.313" Properties=species:S:1:pos:R:3 pbc="T T T"
La 0.000 0.000 0.000
Zr 2.782 2.782 0.000
Cd 0.000 2.782 1.657
Cd 2.782 0.000 1.657
```

Properties
DFT formation energy in eV/atom: -0.069
Uncorrected energy in eV per formula unit: -15.580
SG: P4/mmm, No. 123

=====

DFT (PBE) results for Tb3Ho2Se8 after structural relaxation.

extended XYZ file:
```
13
Lattice="7.146 -4.108 0.000 7.146 4.108 0.000 -2.345 0.000 6.591" Properties=species:S:1:pos:R:3 pbc="T T T"
Tb 0.000 0.000 0.000
Tb 5.973 1.958 3.295
Tb 5.973 -1.958 3.295
Ho 1.714 0.000 5.525
Ho 10.233 0.000 1.066
Se 5.166 2.141 0.560
Se 0.712 0.000 2.805
Se 6.780 2.141 6.031
Se 4.036 0.000 3.932
Se 7.911 0.000 2.659
Se 5.166 -2.141 0.560
Se 11.235 0.000 3.786
Se 6.780 -2.141 6.031
```

Properties
Uncorrected energy in eV per formula unit: -73.029
ΔE_f (raw) in eV per atom: -1.701
SG: C2/m, No. 12

=====

- What is the formula in the first record?
  LaZrCd2

=====

- Look up the uncorrected energy of the first one.
  -15.580 eV per formula unit

=====

- Number 1 is which compound?
  LaZrCd2

=====

- Look up the uncorrected energy of the first one.
  -15.580 eV per formula unit